The following is a PBE calculation of NdCd2Cu6 after structural relaxation, from Alexandria via LeMat-Bulk.

The total magnetization is 0.000 μB/cell. The calculated formation energy comes out at 0.06 eV per atom. The electronic total energy is -61.2 eV for the cell shown.

a = 3.7557 Å, b = 6.7812 Å, c = 12.5229 Å
α = 90.00°, β = 90.00°, γ = 90.00°
Space group Immm (No. 71)
One atom of each set of equivalent atoms:
Nd  0.0000  0.0000  0.0000 x2
Cd  0.0000  0.5000  0.1331 x4
Cu  0.0000  0.1770  0.5000 x4
Cu  0.0000  0.3075  0.3175 x8